[1]
## BaMnCd2 (PBE)

Data for an optimized crystal structure of BaMnCd2.

Values from the calculation:
Energy of formation from the pure elements (kJ/mol of atoms): 21

a b c (Å): 5.0811 5.8520 7.6700
angles (deg): 90.00 90.00 90.00
Space group Imm2 (No. 44)
One atom of each set of equivalent atoms:
Ba1 0.0000 0.0000 0.0000 [2 per cell]
Mn1 0.0000 0.5000 0.7998 [2 per cell]
Cd1 0.0000 0.0000 0.4852 [2 per cell]
Cd2 0.0000 0.5000 0.2076 [2 per cell]



[2]
## BaMnCd2 (PBE)

Data for an optimized crystal structure of BaMnCd2.

Values from the calculation:
Energy of formation from the pure elements (kJ/mol of atoms): 19

a b c (Å): 3.5539 4.6018 7.0501
angles (deg): 90.00 90.22 90.00
Space group Pm (No. 6)
One atom of each set of equivalent atoms:
Ba1 0.0000 0.0000 0.0000 [1 per cell]
Mn1 0.9965 0.5000 0.4036 [1 per cell]
Cd1 0.4980 0.0000 0.4490 [1 per cell]
Cd2 0.4983 0.5000 0.7186 [1 per cell]



[3]
## Ba4MnCd (PBE)

Data for an optimized crystal structure of Ba4MnCd.

Values from the calculation:
Energy of formation from the pure elements (kJ/mol of atoms): 66

a b c (Å): 10.3653 10.3653 10.3653
angles (deg): 90.00 90.00 90.00
Space group F-43m (No. 216)
One atom of each set of equivalent atoms:
Ba1 0.1251 0.1251 0.1251 [16 per cell]
Mn1 0.0000 0.0000 0.5000 [4 per cell]
Cd1 0.2500 0.2500 0.7500 [4 per cell]



[4]
## Ba2MnCd (PBE)

Data for an optimized crystal structure of Ba2MnCd.

Values from the calculation:
Energy of formation from the pure elements (kJ/mol of atoms): 19

a b c (Å): 13.1929 4.1838 5.7965
angles (deg): 90.00 115.88 90.00
Space group Cm (No. 8)
One atom of each set of equivalent atoms:
Ba1 0.0000 0.0000 0.0000 [2 per cell]
Ba2 0.2013 0.0000 0.6994 [2 per cell]
Mn1 0.4312 0.0000 0.4316 [2 per cell]
Cd1 0.2733 0.5000 0.2711 [2 per cell]



[5]
## BaMn2Cd (PBE)

Data for an optimized crystal structure of BaMn2Cd.

Values from the calculation:
Energy of formation from the pure elements (kJ/mol of atoms): 56

a b c (Å): 3.3398 4.7294 6.8059
angles (deg): 90.00 101.29 90.00
Space group P2/m (No. 10)
One atom of each set of equivalent atoms:
Ba1 0.0000 0.0000 0.0000 [1 per cell]
Mn1 0.2973 0.5000 0.6662 [2 per cell]
Cd1 0.5000 0.0000 0.5000 [1 per cell]



[6]
## BaMn2Cd (PBE)

Data for an optimized crystal structure of BaMn2Cd.

Values from the calculation:
Energy of formation from the pure elements (kJ/mol of atoms): 25

a b c (Å): 4.5763 4.5763 18.1640
angles (deg): 90.00 90.00 120.00
Space group R3m (No. 160, hexagonal axes)
One atom of each set of equivalent atoms:
Ba1 0.0000 0.0000 0.0000 [3 per cell]
Mn1 0.0000 0.0000 0.4815 [3 per cell]
Mn2 0.0000 0.0000 0.8090 [3 per cell]
Cd1 0.0000 0.0000 0.1922 [3 per cell]



[7]
## BaMn2Cd (PBE)

Data for an optimized crystal structure of BaMn2Cd.

Values from the calculation:
Energy of formation from the pure elements (kJ/mol of atoms): 76

a b c (Å): 3.3611 3.3611 30.2007
angles (deg): 90.00 90.00 120.00
Space group R-3m (No. 166, hexagonal axes)
One atom of each set of equivalent atoms:
Ba1 0.0000 0.0000 0.0000 [3 per cell]
Mn1 0.0000 0.0000 0.2381 [6 per cell]
Cd1 0.0000 0.0000 0.5000 [3 per cell]



[8]
## BaMnCd2 (PBE)

Data for an optimized crystal structure of BaMnCd2.

Values from the calculation:
Energy of formation from the pure elements (kJ/mol of atoms): 20

a b c (Å): 3.7370 3.7370 7.9251
angles (deg): 90.00 90.00 90.00
Space group P4mm (No. 99)
One atom of each set of equivalent atoms:
Ba1 0.0000 0.0000 0.0000 [1 per cell]
Mn1 0.5000 0.5000 0.6850 [1 per cell]
Cd1 0.0000 0.0000 0.5376 [1 per cell]
Cd2 0.5000 0.5000 0.3140 [1 per cell]



[9]
## BaMn3Cd (PBE)

Data for an optimized crystal structure of BaMn3Cd.

Values from the calculation:
Energy above the most stable polymorph in this dataset (meV/atom): 0.0
Energy of formation from the pure elements (kJ/mol of atoms): 83

a b c (Å): 5.2054 5.2054 5.2054
angles (deg): 90.00 90.00 90.00
Space group Pm-3m (No. 221)
One atom of each set of equivalent atoms:
Ba1 0.0000 0.0000 0.0000 [1 per cell]
Mn1 0.0000 0.5000 0.5000 [3 per cell]
Cd1 0.5000 0.5000 0.5000 [1 per cell]



[10]
## Ba2MnCd (PBE)

Data for an optimized crystal structure of Ba2MnCd.

Values from the calculation:
Energy of formation from the pure elements (kJ/mol of atoms): 22

a b c (Å): 3.9223 3.9223 9.5656
angles (deg): 90.00 90.00 90.00
Space group P4mm (No. 99)
One atom of each set of equivalent atoms:
Ba1 0.0000 0.0000 0.0000 [1 per cell]
Ba2 0.5000 0.5000 0.3925 [1 per cell]
Mn1 0.5000 0.5000 0.7552 [1 per cell]
Cd1 0.0000 0.0000 0.6387 [1 per cell]



[11]
## BaMnCd2 (PBE)

Data for an optimized crystal structure of BaMnCd2.

Values from the calculation:
Energy of formation from the pure elements (kJ/mol of atoms): 7

a b c (Å): 4.8526 4.8526 17.8763
angles (deg): 90.00 90.00 120.00
Space group R3m (No. 160, hexagonal axes)
One atom of each set of equivalent atoms:
Ba1 0.0000 0.0000 0.0000 [3 per cell]
Mn1 0.0000 0.0000 0.1926 [3 per cell]
Cd1 0.0000 0.0000 0.5189 [3 per cell]
Cd2 0.0000 0.0000 0.8055 [3 per cell]



[12]
## BaMn2NbCd (PBE)

Data for an optimized crystal structure of BaMn2NbCd.

Values from the calculation:
Energy of formation from the pure elements (kJ/mol of atoms): 257

a b c (Å): 4.6771 4.6771 5.5440
angles (deg): 90.00 90.00 90.00
Space group P4/mmm (No. 123)
One atom of each set of equivalent atoms:
Ba1 0.0000 0.0000 0.0000 [1 per cell]
Mn1 0.0000 0.5000 0.0000 [2 per cell]
Nb1 0.5000 0.5000 0.5000 [1 per cell]
Cd1 0.0000 0.0000 0.5000 [1 per cell]



What did we get for density of states at the Fermi level? Answer: 6.11; 2.76; 39.64; 8.00; 4.35; 9.01; 10.16; 3.45; 5.60; 4.42; 11.44; 10.93 states/eV per cell, in the order shown.
What did we get for final energy? Answer: -3.012; -3.038; -2.276; -3.282; -4.718; -5.034; -4.507; -3.021; -5.208; -3.259; -3.156; -3.587 eV per atom, in the order shown.